# 1
# ScReRu (PBE, relaxed)
data_ScReRu
_space_group_name_H-M_alt 'P 3 m 1'
_space_group_IT_number 156
_space_group_name_Hall 'P 3 -2"'
_cell_length_a 4.4162
_cell_length_b 4.4162
_cell_length_c 2.8337
_cell_angle_alpha 90.00
_cell_angle_beta 90.00
_cell_angle_gamma 120.00
loop_
_atom_site_label
_atom_site_type_symbol
_atom_site_fract_x
_atom_site_fract_y
_atom_site_fract_z
Sc1 Sc 0.0000 0.0000 0.0000
Re1 Re 0.6667 0.3333 0.3694
Ru1 Ru 0.3333 0.6667 0.6515
# Calculated total energy (eV per cell): -28.08
# Total moment (μB per cell): 0.0
# Density of states at the Fermi level (states/eV per cell): 1.8
# Relative energy among the computed polymorphs (kcal/mol of atoms): 7.64

---

# 2
# Pr3Zn2Ga (PBE, relaxed)
data_Pr3Zn2Ga
_space_group_name_H-M_alt 'C m m m'
_space_group_IT_number 65
_space_group_name_Hall '-C 2 2'
_cell_length_a 5.2567
_cell_length_b 15.8157
_cell_length_c 3.7096
_cell_angle_alpha 90.00
_cell_angle_beta 90.00
_cell_angle_gamma 90.00
loop_
_atom_site_label
_atom_site_type_symbol
_atom_site_fract_x
_atom_site_fract_y
_atom_site_fract_z
Pr1 Pr 0.0000 0.0000 0.0000
Pr2 Pr 0.0000 0.3344 0.0000
Zn1 Zn 0.0000 0.1696 0.5000
Ga1 Ga 0.0000 0.5000 0.5000
# Calculated total energy (eV per cell): -44.40
# Total moment (μB per cell): 0.0
# Density of states at the Fermi level (states/eV per cell): 14.1
# Relative energy among the computed polymorphs (kcal/mol of atoms): 0.00

---

# 3
# TiP (PBE, relaxed)
data_TiP
_space_group_name_H-M_alt 'P 63/m m c'
_space_group_IT_number 194
_space_group_name_Hall '-P 6c 2c'
_cell_length_a 3.4941
_cell_length_b 3.4941
_cell_length_c 11.7178
_cell_angle_alpha 90.00
_cell_angle_beta 90.00
_cell_angle_gamma 120.00
loop_
_atom_site_label
_atom_site_type_symbol
_atom_site_fract_x
_atom_site_fract_y
_atom_site_fract_z
Ti1 Ti 0.3333 0.6667 0.1162
P1 P 0.0000 0.0000 0.0000
P2 P 0.3333 0.6667 0.7500
# Calculated total energy (eV per cell): -62.68
# Total moment (μB per cell): 0.0
# Density of states at the Fermi level (states/eV per cell): 4.0

---

# 4
# Fe (PBE, relaxed)
data_Fe
_space_group_name_H-M_alt 'I 41/a m d'
_space_group_IT_number 141
_cell_length_a 4.5817
_cell_length_b 4.5817
_cell_length_c 2.4498
_cell_angle_alpha 90.00
_cell_angle_beta 90.00
_cell_angle_gamma 90.00
loop_
_space_group_symop_operation_xyz
'x,y,z'
'-x,-y,-z'
'-y+1/4,x+3/4,z+1/4'
'y+1/4,-x+3/4,-z+1/4'
'-x+1/2,-y,z+1/2'
'x+1/2,y,-z+1/2'
'y+1/4,-x+1/4,z+3/4'
'-y+1/4,x+1/4,-z+3/4'
'x,-y,-z'
'-x,y,z'
'-y+1/4,-x+1/4,-z+3/4'
'y+1/4,x+1/4,z+3/4'
'-x+1/2,y,-z+1/2'
'x+1/2,-y,z+1/2'
'y+1/4,x+3/4,-z+1/4'
'-y+1/4,-x+3/4,z+1/4'
'x+1/2,y+1/2,z+1/2'
'-x+1/2,-y+1/2,-z+1/2'
'-y+3/4,x+1/4,z+3/4'
'y+3/4,-x+1/4,-z+3/4'
'-x,-y+1/2,z'
'x,y+1/2,-z'
'y+3/4,-x+3/4,z+1/4'
'-y+3/4,x+3/4,-z+1/4'
'x+1/2,-y+1/2,-z+1/2'
'-x+1/2,y+1/2,z+1/2'
'-y+3/4,-x+3/4,-z+1/4'
'y+3/4,x+3/4,z+1/4'
'-x,y+1/2,-z'
'x,-y+1/2,z'
'y+3/4,x+1/4,-z+3/4'
'-y+3/4,-x+1/4,z+3/4'
loop_
_atom_site_label
_atom_site_type_symbol
_atom_site_fract_x
_atom_site_fract_y
_atom_site_fract_z
Fe1 Fe 0.0000 0.2500 0.3750
# Calculated total energy (eV per cell): -31.71
# Total moment (μB per cell): 10.2
# Density of states at the Fermi level (states/eV per cell): 4.4
# Relative energy among the computed polymorphs (kcal/mol of atoms): 12.32

---

# 5
# Ce2PaGaN5 (PBE, relaxed)
data_Ce2PaGaN5
_space_group_name_H-M_alt 'C m c 21'
_space_group_IT_number 36
_space_group_name_Hall 'C 2c -2'
_cell_length_a 3.4725
_cell_length_b 13.9963
_cell_length_c 10.5091
_cell_angle_alpha 90.00
_cell_angle_beta 90.00
_cell_angle_gamma 90.00
loop_
_atom_site_label
_atom_site_type_symbol
_atom_site_fract_x
_atom_site_fract_y
_atom_site_fract_z
Ce1 Ce 0.0000 0.1145 0.0000
Ce2 Ce 0.0000 0.1274 0.5999
Pa1 Pa 0.0000 0.2063 0.3095
Ga1 Ga 0.0000 0.4954 0.7862
N1 N 0.0000 0.0453 0.3607
N2 N 0.0000 0.2874 0.9530
N3 N 0.0000 0.2980 0.6681
N4 N 0.0000 0.3643 0.3284
N5 N 0.0000 0.4916 0.0979
# Formation energy from raw total energies (meV/atom): -1179.8
# Calculated total energy (eV per cell): -306.54
# Total moment (μB per cell): 3.7
# Density of states at the Fermi level (states/eV per cell): 29.4

---

# 6
# KBa2Br2 (PBE, relaxed)
data_KBa2Br2
_space_group_name_H-M_alt 'P 4/m b m'
_space_group_IT_number 127
_space_group_name_Hall '-P 4 2ab'
_cell_length_a 9.1542
_cell_length_b 9.1542
_cell_length_c 6.4356
_cell_angle_alpha 90.00
_cell_angle_beta 90.00
_cell_angle_gamma 90.00
loop_
_atom_site_label
_atom_site_type_symbol
_atom_site_fract_x
_atom_site_fract_y
_atom_site_fract_z
K1 K 0.0000 0.0000 0.0000
Ba1 Ba 0.1791 0.3209 0.5000
Br1 Br 0.1915 0.3085 0.0000
# Formation energy from raw total energies (meV/atom): -1150.4
# Calculated total energy (eV per cell): -28.08
# Total moment (μB per cell): 0.0
# Density of states at the Fermi level (states/eV per cell): 11.5
# Relative energy among the computed polymorphs (kcal/mol of atoms): 1.32

---

# 7
# EuErAs2 (PBE, relaxed)
data_EuErAs2
_space_group_name_H-M_alt 'R -3 m'
_space_group_IT_number 166
_space_group_name_Hall '-R 3 2"'
_cell_length_a 4.1739
_cell_length_b 4.1739
_cell_length_c 20.6394
_cell_angle_alpha 90.00
_cell_angle_beta 90.00
_cell_angle_gamma 120.00
loop_
_atom_site_label
_atom_site_type_symbol
_atom_site_fract_x
_atom_site_fract_y
_atom_site_fract_z
Eu1 Eu 0.0000 0.0000 0.0000
Er1 Er 0.0000 0.0000 0.5000
As1 As 0.0000 0.0000 0.2454
# Calculated total energy (eV per cell): -87.99
# Total moment (μB per cell): 19.3
# Density of states at the Fermi level (states/eV per cell): 27.8